{"formula": "BeCd2Ru", "functional": "PBE-GGA", "state": "optimized geometry", "cell": [[-4.096, -0.323, -2.431], [-2.395, -3.603, 2.017], [2.007, 3.817, 2.047]], "species": ["Ru", "Be", "Cd", "Cd"], "fractional_positions": [[0.500, 0.500, 0.000], [0.750, 0.250, 0.500], [0.000, 0.000, 0.000], [0.250, 0.750, 0.500]], "final_energy_ev_per_atom": -3.352, "spacegroup": "I-4m2"}